Ac2ScMo3O12 after structural relaxation, computed with PBE+U.

Cell: 7.3221 7.3221 15.9452 Å, 90.00 90.00 120.00°
Space group R-3m (No. 166, hexagonal axes)
Inequivalent atoms, fractional coordinates:
Ac (0.0000, 0.0000, 0.1167) x6
Sc (0.0000, 0.0000, 0.5000) x3
Mo (0.0000, 0.5000, 0.0000) x9
O (0.0403, 0.5201, 0.8791) x18
O (0.0592, 0.5296, 0.3076) x18

Values from the calculation:
The calculation puts the size of the total moment at 9.0 Bohr magnetons per cell. Its total energy is -7.5319 eV per atom. Its volume is 740.3 Å³ per cell.